(1)
{
  "formula": "ZnCuReHg",
  "functional": "PBE",
  "state": "relaxed",
  "formation_enthalpy_0k_ev_per_atom": 0.793,
  "volume_a3_per_cell": 64,
  "crystal_system": "cubic",
  "relative_energy_ev_per_fu": 0.208,
  "density_g_cm3": 13.44,
  "lattice": [[0.000, 3.171, 3.171], [3.171, 0.000, 3.171], [3.171, 3.171, 0.000]],
  "species": ["Zn", "Cu", "Re", "Hg"],
  "fractional_positions": [[0.000, 0.000, 0.000], [0.250, 0.250, 0.250], [0.500, 0.500, 0.500], [0.750, 0.750, 0.750]]
}

(2)
{
  "formula": "ZnCuReHg",
  "functional": "PBE",
  "state": "relaxed",
  "formation_enthalpy_0k_ev_per_atom": 0.741,
  "volume_a3_per_cell": 63,
  "crystal_system": "cubic",
  "relative_energy_ev_per_fu": 0.000,
  "density_g_cm3": 13.51,
  "lattice": [[0.000, 3.165, 3.165], [3.165, 0.000, 3.165], [3.165, 3.165, 0.000]],
  "species": ["Zn", "Cu", "Re", "Hg"],
  "fractional_positions": [[0.000, 0.000, 0.000], [0.250, 0.250, 0.250], [0.750, 0.750, 0.750], [0.500, 0.500, 0.500]]
}

(3)
{
  "formula": "Cu2HgS3",
  "functional": "PBE",
  "state": "relaxed",
  "volume_a3_per_cell": 241,
  "crystal_system": "monoclinic",
  "energy_ev_per_atom": -3.485,
  "density_g_cm3": 5.85,
  "lattice": [[3.320, -5.790, 0.000], [3.320, 5.790, 0.000], [-2.125, 0.000, 6.258]],
  "species": ["Cu", "Cu", "Cu", "Cu", "Hg", "Hg", "S", "S", "S", "S", "S", "S"],
  "fractional_positions": [[0.082, 0.918, 0.500], [0.239, 0.749, 0.003], [0.749, 0.239, 0.503], [0.918, 0.082, 0.000], [0.401, 0.574, 0.481], [0.574, 0.401, 0.981], [0.000, 0.164, 0.359], [0.164, 0.000, 0.859], [0.366, 0.906, 0.362], [0.539, 0.743, 0.893], [0.743, 0.539, 0.393], [0.906, 0.366, 0.862]]
}